[1]
# ZrSnCl2 | the Alexandria database | PBE-GGA | optimized geometry
# E_form (uncorrected) = -1029 meV/atom
# energy relative to the lowest polymorph listed for this composition = 0.000 eV per atom
data_ZrSnCl2
_cell_length_a 3.3061
_cell_length_b 3.3061
_cell_length_c 32.5796
_cell_angle_alpha 90.00
_cell_angle_beta 90.00
_cell_angle_gamma 120.00
_space_group_name_H-M_alt 'R -3 m'
_space_group_IT_number 166
_space_group_name_Hall '-R 3 2"'
loop_
_atom_site_label
_atom_site_type_symbol
_atom_site_fract_x
_atom_site_fract_y
_atom_site_fract_z
Zr1 Zr 0.0000 0.0000 0.0000
Sn1 Sn 0.0000 0.0000 0.5000
Cl1 Cl 0.0000 0.0000 0.3894



[2]
# Ac3Cu3Au | the Alexandria database | PBE-GGA | optimized geometry
# formation enthalpy at 0 K = -0.324 eV/atom
data_Ac3Cu3Au
_cell_length_a 4.1762
_cell_length_b 4.4771
_cell_length_c 20.2650
_cell_angle_alpha 90.00
_cell_angle_beta 90.00
_cell_angle_gamma 90.00
_space_group_name_H-M_alt 'I m m 2'
_space_group_IT_number 44
_space_group_name_Hall 'I 2 -2'
loop_
_atom_site_label
_atom_site_type_symbol
_atom_site_fract_x
_atom_site_fract_y
_atom_site_fract_z
Ac1 Ac 0.0000 0.0000 0.0000
Ac2 Ac 0.0000 0.0000 0.3647
Ac3 Ac 0.0000 0.5000 0.1790
Cu1 Cu 0.0000 0.0000 0.5498
Cu2 Cu 0.0000 0.0000 0.8229
Cu3 Cu 0.0000 0.5000 0.6127
Au1 Au 0.0000 0.5000 0.7440



Number 1: magnetization 0.00 μB per formula unit. Number 2: magnetization 0.00 μB per formula unit.